## AlHg2BiS (PBE)

Data for a geometry-optimized AlHg2BiS structure.

Computed properties:
- formation energy from raw total energies (eV/f.u.) = 1.69
- total DFT energy (no corrections) (eV per cell) = -10.669

abc: 5.2251 5.2251 4.8591
angles: 90.00 90.00 90.00
With the nearest neighbours (Å) after each atom.
Space group P4/mmm (No. 123)
One atom of each set of equivalent atoms:
Al 0.0000 0.0000 0.0000 [1 per cell]  2 S 2.43
Hg 0.0000 0.5000 0.5000 [2 per cell]  2 S 2.61
Bi 0.5000 0.5000 0.0000 [1 per cell]  8 Hg 3.57, 4 Al 3.69
S 0.0000 0.0000 0.5000 [1 per cell]  2 Al 2.43, 4 Hg 2.61


## AlHgBi2Se (PBE)

Data for a geometry-optimized AlHgBi2Se structure.

Computed properties:
- formation energy from raw total energies (eV/f.u.) = 2.76
- total DFT energy (no corrections) (eV per cell) = -12.534

abc: 5.6418 5.6418 5.3441
angles: 90.00 90.00 90.00
With the nearest neighbours (Å) after each atom.
Space group P4/mmm (No. 123)
One atom of each set of equivalent atoms:
Al 0.0000 0.0000 0.0000 [1 per cell]  8 Bi 3.89, 4 Hg 3.99
Hg 0.5000 0.5000 0.0000 [1 per cell]  2 Se 2.67
Bi 0.0000 0.5000 0.5000 [2 per cell]  2 Se 2.82
Se 0.5000 0.5000 0.5000 [1 per cell]  2 Hg 2.67, 4 Bi 2.82


## Al2SnHgBi (PBE)

Data for a geometry-optimized Al2SnHgBi structure.

Computed properties:
- DFT formation energy (meV/atom) = 851
- total DFT energy (no corrections) (eV per cell) = -11.414

abc: 5.4065 5.4065 6.2849
angles: 90.00 90.00 90.00
With the nearest neighbours (Å) after each atom.
Space group P4/mmm (No. 123)
One atom of each set of equivalent atoms:
Al 0.0000 0.5000 0.0000 [2 per cell]  2 Bi 2.70
Sn 0.0000 0.0000 0.5000 [1 per cell]  2 Bi 3.14
Hg 0.5000 0.5000 0.5000 [1 per cell]  4 Sn 3.82, 8 Al 4.15
Bi 0.0000 0.0000 0.0000 [1 per cell]  4 Al 2.70


## Sr2AlHg4Bi2 (PBE)

Data for a geometry-optimized Sr2AlHg4Bi2 structure.

Computed properties:
- DFT formation energy (meV/atom) = -364
- total DFT energy (no corrections) (eV per cell) = -38.703

abc: 7.0088 7.0088 10.8312
angles: 90.00 90.00 90.00
With the nearest neighbours (Å) after each atom.
Space group I4/mmm (No. 139)
One atom of each set of equivalent atoms:
Sr 0.0000 0.5000 0.2500 [4 per cell]  4 Bi 3.51, 8 Hg 3.68
Al 0.0000 0.0000 0.0000 [2 per cell]  4 Hg 2.72, 2 Bi 2.88
Hg 0.2255 0.2255 0.5000 [8 per cell]  1 Al 2.72
Bi 0.0000 0.0000 0.2660 [4 per cell]  1 Al 2.88


## SrAlHg2Bi (PBE)

Data for a geometry-optimized SrAlHg2Bi structure.

Computed properties:
- DFT formation energy (meV/atom) = -215
- total DFT energy (no corrections) (eV per cell) = -10.983

abc: 5.2224 5.2224 5.7812
angles: 90.00 90.00 90.00
With the nearest neighbours (Å) after each atom.
Space group P4/mmm (No. 123)
One atom of each set of equivalent atoms:
Sr 0.0000 0.0000 0.0000 [1 per cell]  4 Bi 3.69, 8 Hg 3.90
Al 0.5000 0.5000 0.5000 [1 per cell]  4 Hg 2.61, 2 Bi 2.89
Hg 0.0000 0.5000 0.5000 [2 per cell]  2 Al 2.61
Bi 0.5000 0.5000 0.0000 [1 per cell]  2 Al 2.89


## Sr3Al2Hg5Bi2 (PBE)

Data for a geometry-optimized Sr3Al2Hg5Bi2 structure.

Computed properties:
- DFT formation energy (meV/atom) = -327
- total DFT energy (no corrections) (eV per cell) = -51.462

abc: 4.9187 4.9187 29.7044
angles: 90.00 90.00 90.00
With the nearest neighbours (Å) after each atom.
Space group I4/mmm (No. 139)
One atom of each set of equivalent atoms:
Sr 0.0000 0.0000 0.0000 [2 per cell]  12 Hg 3.44-3.48
Sr 0.0000 0.0000 0.1760 [4 per cell]  5 Bi 3.44-3.61, 4 Hg 3.74
Al 0.0000 0.0000 0.3820 [4 per cell]  1 Bi 2.68, 4 Hg 2.69
Hg 0.0000 0.0000 0.5000 [2 per cell]  8 Hg 3.44, 4 Sr 3.48, 2 Al 3.51
Hg 0.0000 0.5000 0.0812 [8 per cell]  2 Al 2.69
Bi 0.0000 0.0000 0.2919 [4 per cell]  1 Al 2.68


## AlTlHg2Bi (PBE)

Data for a geometry-optimized AlTlHg2Bi structure.

Computed properties:
- DFT formation energy (meV/atom) = 154
- total DFT energy (no corrections) (eV per cell) = -9.821

abc: 5.2717 5.2717 5.6632
angles: 90.00 90.00 90.00
With the nearest neighbours (Å) after each atom.
Space group P4/mmm (No. 123)
One atom of each set of equivalent atoms:
Al 0.0000 0.0000 0.0000 [1 per cell]  4 Hg 2.64, 2 Bi 2.83
Tl 0.5000 0.5000 0.5000 [1 per cell]  4 Bi 3.73, 8 Hg 3.87
Hg 0.0000 0.5000 0.0000 [2 per cell]  2 Al 2.64
Bi 0.0000 0.0000 0.5000 [1 per cell]  2 Al 2.83


## AlTlHgBi (PBE)

Data for a geometry-optimized AlTlHgBi structure.

Computed properties:
- DFT formation energy (meV/atom) = 151
- total DFT energy (no corrections) (eV per cell) = -38.755

abc: 7.5967 7.5967 7.5967
angles: 90.00 90.00 90.00
With the nearest neighbours (Å) after each atom.
Space group F-43m (No. 216)
One atom of each set of equivalent atoms:
Al 0.0000 0.0000 0.0000 [4 per cell]  4 Hg 3.29, 4 Bi 3.29
Tl 0.0000 0.0000 0.5000 [4 per cell]  4 Bi 3.29, 4 Hg 3.29
Hg 0.2500 0.2500 0.7500 [4 per cell]  4 Tl 3.29, 4 Al 3.29
Bi 0.2500 0.2500 0.2500 [4 per cell]  4 Al 3.29, 4 Tl 3.29


## Ho6AlBi2 (PBE)

Data for a geometry-optimized Ho6AlBi2 structure.

Computed properties:
- DFT formation energy (meV/atom) = -367
- total DFT energy (no corrections) (eV per cell) = -84.554

abc: 6.2583 8.2752 11.8348
angles: 90.00 120.44 90.00
With the nearest neighbours (Å) after each atom.
Space group P2_1/c (No. 14)
One atom of each set of equivalent atoms:
Ho 0.0918 0.0409 0.2338 [4 per cell]  1 Al 2.90, 1 Bi 3.22
Ho 0.1613 0.7019 0.0446 [4 per cell]  1 Al 2.95, 2 Bi 3.22-3.24
Ho 0.4048 0.1626 0.0355 [4 per cell]  1 Al 2.93, 2 Bi 3.19-3.23, 1 Ho 3.22
Al 0.5000 0.0000 0.5000 [2 per cell]  6 Ho 2.90-2.95
Bi 0.3528 0.1094 0.7376 [4 per cell]  9 Ho 3.19-3.54, 1 Al 3.49


## Ho8AlBi6 (PBE)

Data for a geometry-optimized Ho8AlBi6 structure.

Computed properties:
- DFT formation energy (meV/atom) = -433
- total DFT energy (no corrections) (eV per cell) = -70.139

abc: 10.5932 10.5932 4.7743
angles: 90.00 90.00 120.00
With the nearest neighbours (Å) after each atom.
Space group P-3 (No. 147)
One atom of each set of equivalent atoms:
Ho 0.0262 0.2819 0.2553 [6 per cell]  1 Al 3.09, 4 Bi 3.10-3.41
Ho 0.3333 0.6667 0.7475 [2 per cell]  6 Bi 3.27-3.28
Al 0.0000 0.0000 0.5000 [1 per cell]  6 Ho 3.09
Bi 0.1084 0.6366 0.2472 [6 per cell]  6 Ho 3.10-3.41


## HoAlBi (PBE)

Data for a geometry-optimized HoAlBi structure.

Computed properties:
- DFT formation energy (meV/atom) = -356
- total DFT energy (no corrections) (eV per cell) = -26.536

abc: 4.3153 4.3153 8.4989
angles: 90.00 90.00 90.00
With the nearest neighbours (Å) after each atom.
Space group P4/nmm (No. 129, origin choice 2)
One atom of each set of equivalent atoms:
Ho 0.2500 0.2500 0.2039 [2 per cell]  5 Bi 3.06-3.23, 4 Al 3.31
Al 0.2500 0.7500 0.5000 [2 per cell]  4 Al 3.05, 4 Ho 3.31
Bi 0.2500 0.2500 0.8244 [2 per cell]  5 Ho 3.06-3.23


## Ho7Al2Bi2 (PBE)

Data for a geometry-optimized Ho7Al2Bi2 structure.

Computed properties:
- DFT formation energy (meV/atom) = -116
- total DFT energy (no corrections) (eV per cell) = -97.128

abc: 9.4294 10.9239 6.8178
angles: 90.00 90.00 90.00
With the nearest neighbours (Å) after each atom.
Space group Cmmm (No. 65)
One atom of each set of equivalent atoms:
Ho 0.0000 0.0000 0.0000 [2 per cell]  2 Al 2.97
Ho 0.0000 0.5000 0.2436 [4 per cell]  2 Al 2.99, 2 Bi 3.32, 1 Ho 3.32
Ho 0.2500 0.2500 0.2503 [8 per cell]  2 Al 2.92, 2 Bi 3.25
Al 0.0000 0.2723 0.0000 [4 per cell]  7 Ho 2.92-2.99
Bi 0.2010 0.0000 0.5000 [4 per cell]  6 Ho 3.25-3.32


## Ho7Al5Bi (PBE)

Data for a geometry-optimized Ho7Al5Bi structure.

Computed properties:
- DFT formation energy (meV/atom) = -262
- total DFT energy (no corrections) (eV per cell) = -116.078

abc: 6.1051 10.3398 10.4780
angles: 90.00 90.00 90.00
With the nearest neighbours (Å) after each atom.
Space group Imm2 (No. 44)
One atom of each set of equivalent atoms:
Ho 0.0000 0.0000 0.0000 [2 per cell]  1 Bi 3.35, 4 Al 3.42, 8 Ho 3.50-3.68
Ho 0.0000 0.0000 0.3734 [2 per cell]  6 Al 3.06-3.09, 1 Bi 3.21
Ho 0.0000 0.3208 0.5863 [4 per cell]  5 Al 3.09-3.15, 3 Ho 3.30-3.43
Ho 0.0000 0.3294 0.0755 [4 per cell]  5 Al 2.98-3.30, 1 Ho 3.16
Ho 0.0000 0.5000 0.3260 [2 per cell]  4 Al 3.07, 4 Ho 3.16-3.30, 2 Bi 3.42
Al 0.0000 0.5000 0.8272 [2 per cell]  4 Al 2.94, 6 Ho 3.09-3.14
Al 0.2347 0.2516 0.8381 [8 per cell]  2 Al 2.87-2.94, 5 Ho 2.98-3.15
Bi 0.0000 0.0000 0.6799 [2 per cell]  6 Ho 3.21-3.46, 4 Al 3.40


## Ho3AlBi (PBE)

Data for a geometry-optimized Ho3AlBi structure.

Computed properties:
- DFT formation energy (meV/atom) = -388
- total DFT energy (no corrections) (eV per cell) = -186.358

abc: 13.9762 12.7733 6.3808
angles: 90.00 103.31 90.00
With the nearest neighbours (Å) after each atom.
Space group C2/c (No. 15)
One atom of each set of equivalent atoms:
Ho 0.0854 0.1848 0.0371 [8 per cell]  3 Bi 3.24-3.32, 2 Al 3.26-3.32, 3 Ho 3.48-3.61
Ho 0.1723 0.3005 0.6106 [8 per cell]  2 Al 3.01-3.12, 1 Bi 3.04, 2 Ho 3.13-3.37
Ho 0.1838 0.4361 0.0977 [8 per cell]  2 Al 3.02-3.03, 2 Bi 3.19-3.38, 1 Ho 3.37
Al 0.0000 0.3863 0.2500 [4 per cell]  1 Al 2.78, 2 Ho 3.02
Al 0.0000 0.3959 0.7500 [4 per cell]  1 Al 2.78, 4 Ho 3.01-3.03
Bi 0.1258 0.0704 0.5137 [8 per cell]  6 Ho 3.04-3.38


## HoAl2Bi (PBE)

Data for a geometry-optimized HoAl2Bi structure.

Computed properties:
- DFT formation energy (meV/atom) = -240
- total DFT energy (no corrections) (eV per cell) = -16.905

abc: 4.6031 4.6031 4.3983
angles: 90.00 90.00 90.00
With the nearest neighbours (Å) after each atom.
Space group P4/mmm (No. 123)
One atom of each set of equivalent atoms:
Ho 0.0000 0.0000 0.0000 [1 per cell]  8 Al 3.18, 4 Bi 3.25
Al 0.0000 0.5000 0.5000 [2 per cell]  4 Ho 3.18, 4 Bi 3.18, 4 Al 3.25
Bi 0.5000 0.5000 0.0000 [1 per cell]  8 Al 3.18, 4 Ho 3.25


## AlBiI3 (PBE)

Data for a geometry-optimized AlBiI3 structure.

Computed properties:
- formation energy from raw total energies (eV/f.u.) = 0.48
- total DFT energy (no corrections) (eV per cell) = -11.799

abc: 5.5946 5.5946 5.5946
angles: 90.00 90.00 90.00
With the nearest neighbours (Å) after each atom.
Space group Pm-3m (No. 221)
One atom of each set of equivalent atoms:
Al 0.0000 0.0000 0.0000 [1 per cell]  6 I 2.80
Bi 0.5000 0.5000 0.5000 [1 per cell]  12 I 3.96
I 0.0000 0.0000 0.5000 [3 per cell]  2 Al 2.80


## AlBiI3 (PBE)

Data for a geometry-optimized AlBiI3 structure.

Computed properties:
- formation energy from raw total energies (eV/f.u.) = 0.41
- total DFT energy (no corrections) (eV per cell) = -11.867

abc: 6.2511 6.2511 6.2511
angles: 90.00 90.00 90.00
With the nearest neighbours (Å) after each atom.
Space group Pm-3m (No. 221)
One atom of each set of equivalent atoms:
Al 0.0000 0.0000 0.0000 [1 per cell]  12 I 4.42
Bi 0.5000 0.5000 0.5000 [1 per cell]  6 I 3.13
I 0.0000 0.5000 0.5000 [3 per cell]  2 Bi 3.13


## Al2BiI8 (PBE)

Data for a geometry-optimized Al2BiI8 structure.

Computed properties:
- formation energy from raw total energies (eV/f.u.) = -5.88
- total DFT energy (no corrections) (eV per cell) = -59.288

abc: 13.7004 11.4098 7.8778
angles: 90.00 92.17 90.00
With the nearest neighbours (Å) after each atom.
Space group C2/m (No. 12)
One atom of each set of equivalent atoms:
Al 0.2103 0.0000 0.1761 [4 per cell]  4 I 2.51-2.64
Bi 0.0000 0.0000 0.5000 [2 per cell]  4 I 3.12
I 0.1067 0.1810 0.2760 [8 per cell]  1 Al 2.64
I 0.1248 0.5000 0.6730 [4 per cell]  1 Al 2.51
I 0.2149 0.0000 0.8559 [4 per cell]  1 Al 2.53


## Al3BiI (PBE)

Data for a geometry-optimized Al3BiI structure.

Computed properties:
- formation energy from raw total energies (eV/f.u.) = 3.55
- total DFT energy (no corrections) (eV per cell) = -13.112

abc: 5.7667 5.7667 5.7667
angles: 90.00 90.00 90.00
With the nearest neighbours (Å) after each atom.
Space group Pm-3m (No. 221)
One atom of each set of equivalent atoms:
Al 0.0000 0.0000 0.5000 [3 per cell]  2 Bi 2.88
Bi 0.0000 0.0000 0.0000 [1 per cell]  6 Al 2.88
I 0.5000 0.5000 0.5000 [1 per cell]  12 Al 4.08


## AlBi3I (PBE)

Data for a geometry-optimized AlBi3I structure.

Computed properties:
- formation energy from raw total energies (eV/f.u.) = 5.49
- total DFT energy (no corrections) (eV per cell) = -11.449

abc: 5.9727 5.9727 5.9727
angles: 90.00 90.00 90.00
With the nearest neighbours (Å) after each atom.
Space group Pm-3m (No. 221)
One atom of each set of equivalent atoms:
Al 0.0000 0.0000 0.0000 [1 per cell]  12 Bi 4.22
Bi 0.0000 0.5000 0.5000 [3 per cell]  2 I 2.99
I 0.5000 0.5000 0.5000 [1 per cell]  6 Bi 2.99